DFT (PBE-GGA) results for a relaxed Cs2TeNCl6 crystal.

Summary:
Total magnetization: 0.300 μB per atom
Crystal system: cubic
Uncorrected formation energy: -0.66 eV per atom
Calculated density: 3.03 Mg/m³
DOS at the Fermi energy: 0.000 states/eV per cell

Cell: 7.835 7.835 7.835 Å, 60.00 60.00 60.00°
Sites, in units of the cell vectors:
Cs 0.250 0.250 0.250
Cs 0.750 0.750 0.750
Te 0.000 0.000 0.000
N 0.500 0.500 0.500
Cl 0.232 0.232 0.768
Cl 0.232 0.768 0.232
Cl 0.232 0.768 0.768
Cl 0.768 0.232 0.232
Cl 0.768 0.232 0.768
Cl 0.768 0.768 0.232